# 1
Density functional theory data (GGA-PBE) for a relaxed SrGaS2N crystal.

abc: 4.9860 4.9860 3.9318
angles: 90.00 90.00 90.00
Element x y z (fractional)
Sr: 0.0000 0.0000 0.0000
Ga: 0.5000 0.5000 0.5000
S: 0.0000 0.5000 0.5000
S: 0.5000 0.0000 0.5000
N: 0.5000 0.5000 0.0000

Calculated values
E_form (uncorrected)	-1.9	eV/f.u.
energy above the lowest structure with this stoichiometry	0.0	meV/atom
DOS(E_F)	2.31	states/eV per cell
final energy	-4.629	eV/atom

***

# 2
Density functional theory data (GGA-PBE) for a relaxed SrGaS2N crystal.

abc: 5.6149 5.6149 4.6880
angles: 90.00 90.00 90.00
Element x y z (fractional)
Sr: 0.0000 0.0000 0.0000
Ga: 0.5000 0.5000 0.5000
S: 0.0000 0.5000 0.0000
S: 0.5000 0.0000 0.0000
N: 0.0000 0.0000 0.5000

Calculated values
E_form (uncorrected)	4.4	eV/f.u.
energy above the lowest structure with this stoichiometry	1260.4	meV/atom
DOS(E_F)	10.90	states/eV per cell
final energy	-3.369	eV/atom